No. 1
This record from the Open Quantum Materials Database describes crystalline Li2TaNbGa2Co2 at its relaxed geometry. The functional is GGA-PBE.

Results
The value obtained for the total moment is 0.0 μB/f.u. As for the density: 8.735 g/cm3.

Cell and atoms, written as extended XYZ:
```
8
Lattice="4.184 0.000 0.000 0.000 4.184 0.000 0.000 0.000 5.918" Properties=species:S:1:pos:R:3 pbc="T T T"
Co 0.000 2.092 1.476
Co 2.092 0.000 4.441
Ga 0.000 0.000 0.000
Ga 2.092 2.092 2.959
Li 2.092 0.000 1.481
Li 0.000 2.092 4.437
Nb 0.000 0.000 2.959
Ta 2.092 2.092 0.000
```

No. 2
This record from the Open Quantum Materials Database describes crystalline CsPmSO at its relaxed geometry. The functional is GGA-PBE.

Results
The value obtained for the total moment is 0.0 μB/f.u. As for the density: 4.390 g/cm3. Its energy above the most stable polymorph in this dataset is 0.162 eV per atom.

Cell and atoms, written as extended XYZ:
```
16
Lattice="8.831 0.000 0.000 0.000 9.735 0.000 0.000 0.000 5.737" Properties=species:S:1:pos:R:3 pbc="T T T"
Cs 3.403 0.984 0.351
Cs 7.819 8.751 0.351
Cs 1.012 0.984 3.220
Cs 5.428 8.751 3.220
O 0.284 1.728 0.358
O 4.699 8.006 0.358
O 4.132 1.728 3.227
O 8.547 8.006 3.227
Pm 8.192 3.555 0.362
Pm 3.777 6.180 0.362
Pm 5.054 3.555 3.231
Pm 0.639 6.180 3.231
S 5.353 3.837 0.363
S 0.938 5.897 0.363
S 7.893 3.837 3.232
S 3.478 5.897 3.232
```

No. 3
This record from the Open Quantum Materials Database describes crystalline Nb2FeAu at its relaxed geometry. The functional is GGA-PBE.

Results
The value obtained for the total moment is 1.0 μB/f.u. As for the density: 11.394 g/cm3. Its calculated formation energy is 0.216 eV/atom.

Cell and atoms, written as extended XYZ:
```
4
Lattice="0.000 3.174 3.174 3.174 0.000 3.174 3.174 3.174 0.000" Properties=species:S:1:pos:R:3 pbc="T T T"
Au 3.174 3.174 3.174
Fe 1.587 1.587 1.587
Nb 0.000 0.000 0.000
Nb 4.760 4.760 4.760
```

No. 4
This record from the Open Quantum Materials Database describes crystalline DyHoPt at its relaxed geometry. The functional is GGA-PBE.

Results
The value obtained for the total moment is 0.0 μB/f.u. As for the density: 11.513 g/cm3. Its calculated formation energy is -0.089 eV/atom.

Cell and atoms, written as extended XYZ:
```
3
Lattice="1.913 -0.476 4.312 2.035 3.724 2.115 -2.077 2.023 3.751" Properties=species:S:1:pos:R:3 pbc="T T T"
Dy 0.000 0.000 0.000
Ho 0.468 1.318 2.544
Pt 1.404 3.953 7.633
```

No. 5
This record from the Open Quantum Materials Database describes crystalline WIN at its relaxed geometry. The functional is GGA-PBE.

Results
The value obtained for the total moment is 0.0 μB/f.u. As for the density: 9.623 g/cm3.

Cell and atoms, written as extended XYZ:
```
6
Lattice="1.797 1.038 10.015 -1.797 1.038 10.015 0.000 -2.075 10.015" Properties=species:S:1:pos:R:3 pbc="T T T"
I 0.000 0.000 11.687
I 0.000 0.000 18.357
N 0.000 0.000 6.015
N 0.000 0.000 24.028
W 0.000 0.000 3.957
W 0.000 0.000 26.087
```

No. 6
This record from the Open Quantum Materials Database describes crystalline FeTcSnHg at its relaxed geometry. The functional is GGA-PBE.

Results
The value obtained for the total moment is 2.5 μB/f.u. As for the density: 11.840 g/cm3. Its energy above the most stable polymorph in this dataset is 0.000 eV per atom.

Cell and atoms, written as extended XYZ:
```
4
Lattice="0.000 3.213 3.213 3.213 0.000 3.213 3.213 3.213 0.000" Properties=species:S:1:pos:R:3 pbc="T T T"
Fe 4.820 4.820 4.820
Hg 3.213 3.213 3.213
Sn 0.000 0.000 0.000
Tc 1.607 1.607 1.607
```

No. 7
This record from the Open Quantum Materials Database describes crystalline CsThTlS3 at its relaxed geometry. The functional is GGA-PBE.

Results
The value obtained for the total moment is 0.0 μB/f.u. As for the density: 5.069 g/cm3.

Cell and atoms, written as extended XYZ:
```
12
Lattice="-5.825 6.697 1.720 2.336 -7.885 -3.756 -3.688 -5.682 9.634" Properties=species:S:1:pos:R:3 pbc="T T T"
Cs -4.160 0.654 2.392
Cs -3.017 -7.524 5.205
S -2.586 0.872 -0.432
S -6.718 5.223 4.108
S -4.407 -1.935 4.327
S -2.769 -4.935 3.271
S -0.459 -12.094 3.489
S -4.591 -7.742 8.030
Th 0.000 0.000 0.000
Th -1.844 -2.841 4.817
Tl -1.683 -3.771 0.731
Tl -5.494 -3.099 6.867
```

No. 8
This record from the Open Quantum Materials Database describes crystalline HfNiBAu at its relaxed geometry. The functional is GGA-PBE.

Results
The value obtained for the total moment is 0.0 μB/f.u. As for the density: 12.842 g/cm3. Its energy above the most stable polymorph in this dataset is 0.240 eV per atom.

Cell and atoms, written as extended XYZ:
```
4
Lattice="2.510 -1.800 3.039 0.873 2.165 3.651 -1.734 -1.295 3.754" Properties=species:S:1:pos:R:3 pbc="T T T"
Au 1.237 -0.697 7.833
B 0.824 -0.465 5.222
Hf 0.000 0.000 0.000
Ni 0.412 -0.232 2.611
```

No. 9
This record from the Open Quantum Materials Database describes crystalline CoNiGePd at its relaxed geometry. The functional is GGA-PBE.

Results
The value obtained for the total moment is 0.0 μB/f.u. As for the density: 9.591 g/cm3. Its energy above the most stable polymorph in this dataset is 0.016 eV per atom.

Cell and atoms, written as extended XYZ:
```
4
Lattice="1.280 2.414 3.153 -1.879 -0.252 3.717 2.007 -1.694 3.242" Properties=species:S:1:pos:R:3 pbc="T T T"
Co 1.056 0.351 7.584
Ge 0.000 0.000 0.000
Ni 0.352 0.117 2.528
Pd 0.704 0.234 5.056
```

No. 10
This record from the Open Quantum Materials Database describes crystalline ErAlSi at its relaxed geometry. The functional is GGA-PBE.

Results
The value obtained for the total moment is 0.0 μB/f.u. As for the density: 5.923 g/cm3.

Cell and atoms, written as extended XYZ:
```
9
Lattice="-3.734 -0.103 6.341 2.001 -6.321 -3.195 3.434 0.065 2.023" Properties=species:S:1:pos:R:3 pbc="T T T"
Al -0.517 -0.029 4.806
Al 1.021 -2.548 2.275
Al 2.914 -3.750 -0.900
Er -1.028 -0.028 1.746
Er 0.551 -1.741 -0.880
Er -1.256 -4.655 2.280
Si -1.822 -2.175 3.163
Si 0.089 -4.248 -0.016
Si 1.717 0.032 1.012
```

No. 11
This record from the Open Quantum Materials Database describes crystalline BeHgPtPb at its relaxed geometry. The functional is GGA-PBE.

Results
The value obtained for the total moment is 0.0 μB/f.u. As for the density: 13.020 g/cm3. Its energy above the most stable polymorph in this dataset is 0.018 eV per atom.

Cell and atoms, written as extended XYZ:
```
4
Lattice="0.000 3.392 3.392 3.392 0.000 3.392 3.392 3.392 0.000" Properties=species:S:1:pos:R:3 pbc="T T T"
Be 5.088 5.088 5.088
Hg 1.696 1.696 1.696
Pb 0.000 0.000 0.000
Pt 3.392 3.392 3.392
```

No. 12
This record from the Open Quantum Materials Database describes crystalline BeTcBW at its relaxed geometry. The functional is GGA-PBE.

Results
The value obtained for the total moment is 0.0 μB/f.u. As for the density: 11.376 g/cm3. Its energy above the most stable polymorph in this dataset is 0.000 eV per atom.

Cell and atoms, written as extended XYZ:
```
4
Lattice="0.000 2.803 2.803 2.803 0.000 2.803 2.803 2.803 0.000" Properties=species:S:1:pos:R:3 pbc="T T T"
B 1.401 1.401 1.401
Be 4.204 4.204 4.204
Tc 2.803 2.803 2.803
W 0.000 0.000 0.000
```

No. 13
This record from the Open Quantum Materials Database describes crystalline Na2W at its relaxed geometry. The functional is GGA-PBE.

Results
The value obtained for the total moment is 0.1 μB/f.u. As for the density: 6.002 g/cm3. Its energy above the most stable polymorph in this dataset is 0.000 eV per atom.

Cell and atoms, written as extended XYZ:
```
12
Lattice="-2.183 -3.499 -4.464 5.423 -1.231 2.450 -3.498 -4.689 5.387" Properties=species:S:1:pos:R:3 pbc="T T T"
Na 0.000 0.000 0.000
Na 0.707 -2.261 1.426
Na 3.160 -2.818 2.534
Na 2.173 -4.400 0.516
Na -1.749 -2.345 2.693
Na -2.431 -5.020 2.857
Na -3.418 -6.602 0.839
Na -0.966 -7.159 1.947
W -0.032 -3.259 -1.567
W -1.012 -4.572 -0.058
W 0.754 -4.848 3.431
W -0.226 -6.161 4.940
```

No. 14
This record from the Open Quantum Materials Database describes crystalline ZnCoNiSb at its relaxed geometry. The functional is GGA-PBE.

Results
The value obtained for the total moment is 0.1 μB/f.u. As for the density: 9.179 g/cm3. Its energy above the most stable polymorph in this dataset is 0.000 eV per atom.

Cell and atoms, written as extended XYZ:
```
4
Lattice="0.000 3.021 3.021 3.021 0.000 3.021 3.021 3.021 0.000" Properties=species:S:1:pos:R:3 pbc="T T T"
Co 1.510 1.510 1.510
Ni 4.531 4.531 4.531
Sb 0.000 0.000 0.000
Zn 3.021 3.021 3.021
```

No. 15
This record from the Open Quantum Materials Database describes crystalline LiDyNO at its relaxed geometry. The functional is GGA-PBE.

Results
The value obtained for the total moment is 0.0 μB/f.u. As for the density: 7.645 g/cm3. Its energy above the most stable polymorph in this dataset is 0.000 eV per atom.

Cell and atoms, written as extended XYZ:
```
16
Lattice="-4.934 1.676 -2.584 -3.324 -4.352 3.523 -0.646 3.138 3.267" Properties=species:S:1:pos:R:3 pbc="T T T"
Dy -6.126 1.882 0.109
Dy -5.014 -0.731 2.838
Dy -4.196 2.686 2.923
Dy -3.085 0.073 5.652
Li -3.226 1.970 0.598
Li -3.415 -2.347 4.706
Li -5.795 4.302 1.055
Li -5.985 -0.015 5.163
N -1.554 0.947 0.310
N -7.010 -2.130 2.186
N -1.878 2.516 1.943
N -7.334 -0.560 3.819
O -4.517 0.867 1.402
O -2.837 -1.002 3.529
O -6.373 2.957 2.232
O -4.694 1.088 4.359
```

No. 16
This record from the Open Quantum Materials Database describes crystalline AlRe5 at its relaxed geometry. The functional is GGA-PBE.

Results
The value obtained for the total moment is 0.0 μB/f.u. As for the density: 17.574 g/cm3. Its energy above the most stable polymorph in this dataset is 0.000 eV per atom.

Cell and atoms, written as extended XYZ:
```
12
Lattice="5.137 0.000 0.000 -2.569 4.449 0.000 0.000 0.000 7.922" Properties=species:S:1:pos:R:3 pbc="T T T"
Al 0.000 0.000 0.000
Al 0.000 0.000 3.961
Re 0.000 2.966 0.454
Re 1.313 0.758 1.980
Re 3.824 0.758 1.980
Re 2.569 2.933 1.980
Re 0.000 2.966 3.506
Re 2.569 1.483 4.415
Re 0.000 1.516 5.941
Re -1.256 3.691 5.941
Re 1.256 3.691 5.941
Re 2.569 1.483 7.467
```

No. 17
This record from the Open Quantum Materials Database describes crystalline PrZnCd at its relaxed geometry. The functional is GGA-PBE.

Results
The value obtained for the total moment is 0.0 μB/f.u. As for the density: 5.958 g/cm3. Its calculated formation energy is 0.137 eV/atom.

Cell and atoms, written as extended XYZ:
```
3
Lattice="0.000 3.542 3.542 3.542 0.000 3.542 3.542 3.542 0.000" Properties=species:S:1:pos:R:3 pbc="T T T"
Cd 1.771 1.771 1.771
Pr 0.000 0.000 0.000
Zn 5.312 5.312 5.312
```

No. 18
This record from the Open Quantum Materials Database describes crystalline TlBi2Au at its relaxed geometry. The functional is GGA-PBE.

Results
As for the density: 12.328 g/cm3.

Cell and atoms, written as extended XYZ:
```
4
Lattice="0.000 3.807 3.807 3.807 0.000 3.807 3.807 3.807 0.000" Properties=species:S:1:pos:R:3 pbc="T T T"
Au 3.807 3.807 3.807
Bi 0.000 0.000 0.000
Bi 1.904 1.904 1.904
Tl 5.711 5.711 5.711
```

No. 19
This record from the Open Quantum Materials Database describes crystalline TmThGe at its relaxed geometry. The functional is GGA-PBE.

Results
The value obtained for the total moment is 1.5 μB/f.u. As for the density: 9.131 g/cm3.

Cell and atoms, written as extended XYZ:
```
3
Lattice="3.383 0.429 3.597 -0.627 -2.401 4.291 2.912 -3.848 1.136" Properties=species:S:1:pos:R:3 pbc="T T T"
Ge 1.417 -1.455 2.256
Th 4.251 -4.364 6.769
Tm 0.000 0.000 0.000
```

No. 20
This record from the Open Quantum Materials Database describes crystalline Hf3Hg2B2 at its relaxed geometry. The functional is GGA-PBE.

Results
The value obtained for the total moment is 0.0 μB/f.u. As for the density: 12.092 g/cm3.

Cell and atoms, written as extended XYZ:
```
7
Lattice="-8.804 6.327 6.327 -6.327 6.327 8.804 -6.327 8.804 6.327" Properties=species:S:1:pos:R:3 pbc="T T T"
B -0.004 0.004 0.004
B -11.485 11.485 11.485
Hf -7.859 7.859 7.859
Hf -13.560 13.560 13.560
Hf -18.039 18.039 18.039
Hg -5.134 5.134 5.134
Hg -16.341 16.341 16.341
```

No. 21
This record from the Open Quantum Materials Database describes crystalline CdPd8 at its relaxed geometry. The functional is GGA-PBE.

Results
As for the density: 6.805 g/cm3. Its calculated formation energy is 0.019 eV/atom.

Cell and atoms, written as extended XYZ:
```
18
Lattice="-2.050 1.628 -4.029 -3.877 -1.416 -2.460 -15.661 17.090 14.929" Properties=species:S:1:pos:R:3 pbc="T T T"
Cd -4.701 4.789 3.819
Cd -16.887 12.512 4.621
Pd -4.100 0.413 -3.970
Pd -6.378 1.033 -5.419
Pd -2.725 1.442 -0.374
Pd -5.017 2.070 -1.825
Pd -7.320 2.687 -3.307
Pd -3.698 3.099 1.710
Pd -6.015 3.750 0.275
Pd -8.308 4.359 -1.213
Pd -13.280 12.942 9.653
Pd -15.573 13.551 8.165
Pd -17.890 14.202 6.730
Pd -14.268 14.614 11.747
Pd -16.571 15.231 10.264
Pd -18.863 15.859 8.814
Pd -15.210 16.268 13.859
Pd -17.488 16.888 12.410
```

No. 22
This record from the Open Quantum Materials Database describes crystalline DyTmGa4Ir2 at its relaxed geometry. The functional is GGA-PBE.

Results
The value obtained for the total moment is 0.0 μB/f.u. As for the density: 11.341 g/cm3.

Cell and atoms, written as extended XYZ:
```
8
Lattice="6.702 0.000 0.000 0.000 2.162 5.026 0.000 -2.162 5.026" Properties=species:S:1:pos:R:3 pbc="T T T"
Dy 0.000 0.000 0.846
Ga 1.318 0.000 3.687
Ga 5.384 0.000 3.687
Ga 2.044 0.000 6.370
Ga 4.657 0.000 6.370
Ir 3.351 0.000 2.043
Ir 0.000 0.000 8.012
Tm 3.351 0.000 9.196
```

No. 23
This record from the Open Quantum Materials Database describes crystalline MgBeZn2 at its relaxed geometry. The functional is GGA-PBE.

Results
As for the density: 4.838 g/cm3. Its energy above the most stable polymorph in this dataset is 0.000 eV per atom.

Cell and atoms, written as extended XYZ:
```
4
Lattice="0.000 3.043 3.043 3.043 0.000 3.043 3.043 3.043 0.000" Properties=species:S:1:pos:R:3 pbc="T T T"
Be 4.564 4.564 4.564
Mg 1.521 1.521 1.521
Zn 0.000 0.000 0.000
Zn 3.043 3.043 3.043
```

No. 24
This record from the Open Quantum Materials Database describes crystalline ZrGa2Cu at its relaxed geometry. The functional is GGA-PBE.

Results
The value obtained for the total moment is 0.0 μB/f.u. As for the density: 7.304 g/cm3.

Cell and atoms, written as extended XYZ:
```
4
Lattice="0.000 3.222 3.222 3.222 0.000 3.222 3.222 3.222 0.000" Properties=species:S:1:pos:R:3 pbc="T T T"
Cu 1.611 1.611 1.611
Ga 0.000 0.000 0.000
Ga 4.833 4.833 4.833
Zr 3.222 3.222 3.222
```

Final energy for the records above, in order: -6.071 -5.693 -7.725 -5.167 -7.468 -5.257 -5.205 -6.059 -5.708 -4.788 -3.015 -8.226 -3.909 -4.547 -6.564 -10.717 -2.174 -3.325 -5.005 -6.304 -4.681 -5.616 -1.782 -4.677 eV per atom